A PBEsol-optimized structure of Cs3Y2Cl9. Source: Alexandria, functional SCAN.

- ΔE_f (raw): -2.493 eV per atom

a b c (Å): 12.9267 12.9267 18.1491
angles (deg): 90.00 90.00 120.00
Closest atoms and distances in Å follow each position.
Space group R-3c (No. 167, hexagonal axes)
One atom of each set of equivalent atoms:
Cs  0.0000  0.3382  0.2500 [18 per cell]  12 Cl 3.64-3.79
Y  0.0000  0.0000  0.1479 [12 per cell]  6 Cl 2.53-2.72
Cl  0.0000  0.1538  0.7500 [18 per cell]  2 Y 2.72
Cl  0.0070  0.1795  0.4136 [36 per cell]  1 Y 2.53